Record 1
Below is a relaxed structure of PrErThMg, with properties calculated at the PBE level.

```
4
Lattice="-1.201 3.190 4.410 -5.141 2.056 0.635 -3.306 -1.958 4.038" Properties=species:S:1:pos:R:3 pbc="T T T"
Er -2.412 0.822 2.271
Pr 0.000 0.000 0.000
Mg -7.236 2.466 6.812
Th -4.824 1.644 4.541
```

crystal system = cubic
ΔE_f = 0.0926 eV per atom
raw total energy = -4.4966 eV/atom
symmetry = F-43m (216)

Record 2
Below is a relaxed structure of PrErMgTi, with properties calculated at the PBE level.

```
4
Lattice="-4.572 -2.697 -0.057 -0.098 -5.089 1.506 -2.329 -1.371 4.569" Properties=species:S:1:pos:R:3 pbc="T T T"
Mg -5.250 -6.868 4.514
Ti -1.750 -2.289 1.505
Er 0.000 0.000 0.000
Pr -3.500 -4.579 3.009
```

crystal system = cubic
ΔE_f = 0.1514 eV per atom
raw total energy = -4.5566 eV/atom
symmetry = F-43m (216)

Record 3
Below is a relaxed structure of PrErMgTl, with properties calculated at the PBE level.

```
4
Lattice="5.424 0.000 0.000 2.712 4.697 0.000 2.712 1.566 4.429" Properties=species:S:1:pos:R:3 pbc="T T T"
Mg 8.136 4.697 3.321
Er 5.424 3.131 2.214
Pr 0.000 0.000 0.000
Tl 2.712 1.566 1.107
```

crystal system = cubic
ΔE_f = -0.2351 eV per atom
raw total energy = -3.5610 eV/atom
symmetry = F-43m (216)

Record 4
Below is a relaxed structure of PrEr2MgTl4, with properties calculated at the PBE level.

```
8
Lattice="5.279 0.000 0.000 2.640 4.572 0.000 2.640 1.524 9.042" Properties=species:S:1:pos:R:3 pbc="T T T"
Tl 2.640 1.524 5.619
Tl 7.919 4.572 3.424
Tl 5.279 3.048 7.803
Tl 5.279 3.048 1.240
Er 2.640 1.524 2.426
Er 7.919 4.572 6.616
Pr 0.000 0.000 0.000
Mg 5.279 3.048 4.521
```

crystal system = trigonal
ΔE_f = -0.2787 eV per atom
raw total energy = -3.3993 eV/atom
symmetry = R-3m (166)

Record 5
Below is a relaxed structure of Pr2Er4TmMg, with properties calculated at the PBE level.

```
8
Lattice="4.961 0.000 0.000 0.000 4.868 1.026 0.000 2.791 10.905" Properties=species:S:1:pos:R:3 pbc="T T T"
Er 2.480 4.345 3.502
Er 0.000 1.913 2.986
Er 2.481 3.314 8.428
Er 4.960 5.745 8.944
Mg 2.480 2.434 0.513
Pr 0.000 2.791 10.905
Pr 2.480 1.396 5.452
Tm 0.000 3.829 5.965
```

crystal system = orthorhombic
ΔE_f = 0.0374 eV per atom
raw total energy = -4.1972 eV/atom
symmetry = Pmmm (47)

Record 6
Below is a relaxed structure of PrErTmMg, with properties calculated at the PBE level.

```
4
Lattice="5.533 0.000 0.000 2.766 4.792 0.000 2.766 1.597 4.518" Properties=species:S:1:pos:R:3 pbc="T T T"
Pr 8.299 4.792 3.388
Mg 5.533 3.194 2.259
Er 2.766 1.597 1.129
Tm 0.000 0.000 0.000
```

crystal system = cubic
ΔE_f = 0.0310 eV per atom
raw total energy = -3.8211 eV/atom
symmetry = F-43m (216)

Record 7
Below is a relaxed structure of Pr6Er2Tm3Mg, with properties calculated at the PBE level.

```
12
Lattice="-1.992 -1.505 -5.720 6.109 0.007 1.277 -2.022 -10.609 4.632" Properties=species:S:1:pos:R:3 pbc="T T T"
Er 3.409 -0.497 -1.055
Er 0.709 -1.001 -3.388
Mg 0.000 0.000 0.000
Pr 0.225 -9.339 -1.023
Pr 2.582 -3.778 -2.173
Pr -0.827 -3.272 -1.117
Pr 2.922 -8.836 1.306
Pr -0.486 -8.329 2.362
Pr 1.871 -2.768 1.213
Tm 3.748 -5.550 2.427
Tm -1.652 -6.558 -2.237
Tm 1.048 -6.054 0.095
```

crystal system = monoclinic
ΔE_f = 0.0263 eV per atom
raw total energy = -4.3747 eV/atom
symmetry = C2/m (12)

Record 8
Below is a relaxed structure of Pr6Er3Tm2Mg, with properties calculated at the PBE level.

```
12
Lattice="-4.291 -1.589 -4.257 5.992 -1.545 -0.873 -2.344 -8.957 7.238" Properties=species:S:1:pos:R:3 pbc="T T T"
Tm -0.862 -1.574 -3.129
Tm 2.563 -1.560 -2.002
Pr -1.333 -7.512 4.149
Pr 1.555 -2.995 1.082
Pr -1.871 -3.010 -0.045
Pr -2.197 -9.096 1.026
Pr 0.691 -4.579 -2.041
Pr 1.229 -9.081 2.153
Er -3.747 -6.060 -0.073
Er 3.104 -6.031 2.181
Er -0.321 -6.045 1.054
Mg 0.000 0.000 0.000
```

crystal system = monoclinic
ΔE_f = 0.0273 eV per atom
raw total energy = -4.3813 eV/atom
symmetry = C2/m (12)